#1
Compound: BaTaZn2
Source: Alexandria
Functional: PBE
Structure: relaxed

extended XYZ file:
```
4
Lattice="3.5747 -4.0404 0.0000 3.5747 4.0404 0.0000 0.0000 0.0000 3.0128" Properties=species:S:1:pos:R:3 pbc="T T T"
Ba 0.0000 0.0000 0.0000
Ta 3.5747 0.0000 0.0000
Zn 1.7873 2.0202 1.5064
Zn 1.7873 -2.0202 1.5064
```

Output
density of states at the Fermi level	0.8026	states/eV/atom
crystal system	orthorhombic
symmetry	Cmmm

---

#2
Compound: BaTaZn2
Source: Alexandria
Functional: PBE
Structure: relaxed

extended XYZ file:
```
8
Lattice="-2.5305 2.5305 9.4492 2.5305 -2.5305 9.4492 2.5305 2.5305 -9.4492" Properties=species:S:1:pos:R:3 pbc="T T T"
Ba 2.5305 1.2652 2.3623
Ba 0.0000 1.2652 7.0869
Ta 2.5305 -1.2652 7.0869
Ta 0.0000 3.7957 2.3623
Zn 0.0000 0.0000 0.0000
Zn 1.2652 1.2652 -4.7246
Zn 1.2652 -1.2652 4.7246
Zn 0.0000 2.5305 0.0000
```

Output
density of states at the Fermi level	0.7463	states/eV/atom
crystal system	tetragonal
symmetry	I4_1/amd

---

#3
Compound: BaTaZn2
Source: Alexandria
Functional: PBE
Structure: relaxed

extended XYZ file:
```
4
Lattice="5.3744 0.0000 0.0000 0.0000 5.3744 0.0000 0.0000 0.0000 3.0196" Properties=species:S:1:pos:R:3 pbc="T T T"
Ba 0.0000 0.0000 0.0000
Ta 2.6872 2.6872 0.0000
Zn 0.0000 2.6872 1.5098
Zn 2.6872 0.0000 1.5098
```

Output
density of states at the Fermi level	0.9620	states/eV/atom
crystal system	tetragonal
symmetry	P4/mmm

---

Which of them is the most stable? Correct choice: #1.

---

#1
Compound: Ba2ZrTa
Source: Alexandria
Functional: PBE
Structure: relaxed

extended XYZ file:
```
4
Lattice="0.0000 3.9365 3.9365 3.9365 0.0000 3.9365 3.9365 3.9365 0.0000" Properties=species:S:1:pos:R:3 pbc="T T T"
Ba 0.0000 0.0000 0.0000
Ba 1.9682 1.9682 1.9682
Zr 5.9047 5.9047 5.9047
Ta 3.9365 3.9365 3.9365
```

Output
density of states at the Fermi level	2.3966	states/eV/atom
crystal system	cubic
symmetry	F-43m

---

#2
Compound: Ba2ZrTa
Source: Alexandria
Functional: PBE
Structure: relaxed

extended XYZ file:
```
4
Lattice="1.6852 0.9730 12.2351 -1.6852 0.9730 12.2351 0.0000 -1.9459 12.2351" Properties=species:S:1:pos:R:3 pbc="T T T"
Ba 0.0000 0.0000 8.9892
Ba 0.0000 0.0000 27.7161
Zr 0.0000 0.0000 0.0000
Ta 0.0000 0.0000 18.3527
```

Output
density of states at the Fermi level	1.9108	states/eV/atom
crystal system	trigonal
symmetry	R-3m

---

#3
Compound: Ba2ZrTa
Source: Alexandria
Functional: PBE
Structure: relaxed

extended XYZ file:
```
8
Lattice="-4.6820 4.6820 3.0792 4.6820 -4.6820 3.0792 4.6820 4.6820 -3.0792" Properties=species:S:1:pos:R:3 pbc="T T T"
Ba 2.3410 2.0651 -0.7698
Ba 2.6169 -2.3410 3.8490
Ba 2.3410 2.6169 2.3094
Ba 2.0651 7.0230 0.7698
Zr 4.6820 0.0000 1.5396
Zr 0.0000 0.0000 3.0792
Ta 0.0000 0.0000 0.0000
Ta 0.0000 4.6820 1.5396
```

Output
density of states at the Fermi level	1.5963	states/eV/atom
crystal system	tetragonal
symmetry	I-42d

---

#4
Compound: Ba2ZrTa
Source: Alexandria
Functional: PBE
Structure: relaxed

extended XYZ file:
```
4
Lattice="1.7961 1.0370 11.8462 -1.7961 1.0370 11.8462 0.0000 -2.0740 11.8462" Properties=species:S:1:pos:R:3 pbc="T T T"
Ba 0.0000 0.0000 0.0000
Ba 0.0000 0.0000 7.8605
Zr 0.0000 0.0000 16.6233
Ta 0.0000 0.0000 26.4897
```

Output
density of states at the Fermi level	1.4081	states/eV/atom
crystal system	trigonal
symmetry	R3m

---

Which of them is the most stable? Correct choice: #4.

---

#1
Compound: BaTb2
Source: Alexandria
Functional: PBE
Structure: relaxed

extended XYZ file:
```
6
Lattice="0.0000 5.0140 5.0140 5.0140 0.0000 5.0140 5.0140 5.0140 0.0000" Properties=species:S:1:pos:R:3 pbc="T T T"
Ba 1.2535 1.2535 1.2535
Ba 8.7745 8.7745 8.7745
Tb 5.0140 2.5070 2.5070
Tb 2.5070 5.0140 2.5070
Tb 2.5070 2.5070 5.0140
Tb 5.0140 5.0140 5.0140
```

Output
density of states at the Fermi level	2.2531	states/eV/atom
crystal system	cubic
symmetry	Fd-3m

---

#2
Compound: BaTb2
Source: Alexandria
Functional: PBE
Structure: relaxed

extended XYZ file:
```
3
Lattice="-1.8896 1.8896 8.2306 1.8896 -1.8896 8.2306 1.8896 1.8896 -8.2306" Properties=species:S:1:pos:R:3 pbc="T T T"
Ba 0.0000 0.0000 0.0000
Tb 0.0000 0.0000 5.2364
Tb 0.0000 0.0000 11.2248
```

Output
density of states at the Fermi level	1.8202	states/eV/atom
crystal system	tetragonal
symmetry	I4/mmm

---

Which of them is the most stable? Correct choice: #2.

---

#1
Compound: BaTbTe2
Source: Alexandria
Functional: PBE
Structure: relaxed

extended XYZ file:
```
4
Lattice="2.2916 1.3231 7.8418 -2.2916 1.3231 7.8418 0.0000 -2.6461 7.8418" Properties=species:S:1:pos:R:3 pbc="T T T"
Ba 0.0000 0.0000 0.0000
Tb 0.0000 0.0000 11.7626
Te 0.0000 0.0000 5.6160
Te 0.0000 0.0000 17.9092
```

Output
density of states at the Fermi level	0.4960	states/eV/atom
crystal system	trigonal
symmetry	R-3m

---

#2
Compound: BaTbTe2
Source: Alexandria
Functional: PBE
Structure: relaxed

extended XYZ file:
```
4
Lattice="2.2518 1.3001 8.1704 -2.2518 1.3001 8.1704 0.0000 -2.6001 8.1704" Properties=species:S:1:pos:R:3 pbc="T T T"
Ba 0.0000 0.0000 0.0000
Tb 0.0000 0.0000 4.2242
Te 0.0000 0.0000 14.0945
Te 0.0000 0.0000 18.7563
```

Output
density of states at the Fermi level	0.6886	states/eV/atom
crystal system	trigonal
symmetry	R3m

---

Which of them is the most stable? Correct choice: #1.